1.
Here is a crystal of Li2LaPb2 relaxed with PBEsol from the Alexandria database. Energies are from meta-GGA SCAN.

Cell lengths 4.470, 4.470, 12.359 Å; angles 90.00, 90.00, 90.00 degrees
Space group I4/mmm (No. 139)
Asymmetric unit:
Li (0.000, 0.500, 0.250) [4 per cell]
La (0.000, 0.000, 0.000) [2 per cell]
Pb (0.000, 0.000, 0.382) [4 per cell]

Results
The calculated total energy comes out at -40.540 eV/atom. Its energy relative to the lowest polymorph listed for this composition is 0 meV/atom.


2.
Here is a crystal of Li2LaPb relaxed with PBEsol from the Alexandria database. Energies are from meta-GGA SCAN.

Cell lengths 4.612, 4.612, 4.907 Å; angles 90.00, 90.00, 90.00 degrees
Space group P4/mmm (No. 123)
Asymmetric unit:
Li (0.000, 0.500, 0.000) [2 per cell]
La (0.000, 0.000, 0.500) [1 per cell]
Pb (0.500, 0.500, 0.500) [1 per cell]

Results
The calculated total energy comes out at -31.296 eV/atom.


3.
Here is a crystal of Li2LaPb2 relaxed with PBEsol from the Alexandria database. Energies are from meta-GGA SCAN.

Cell lengths 8.499, 8.499, 3.249 Å; angles 90.00, 90.00, 90.00 degrees
Space group P4/mbm (No. 127)
Asymmetric unit:
Li (0.115, 0.385, 0.000) [4 per cell]
La (0.000, 0.000, 0.000) [2 per cell]
Pb (0.178, 0.678, 0.500) [4 per cell]

Results
The calculated total energy comes out at -40.471 eV/atom. Its energy relative to the lowest polymorph listed for this composition is 69 meV/atom.


For reference, energy relative to the elements by record: -651 -379 -581 meV/atom.